# 1
Density functional theory data (PBE-GGA) for CaLaAu after structural relaxation.

Output
energy relative to the lowest polymorph listed for this composition	147	meV per atom
ΔH_f (0 K)	-0.365	eV per atom
calculated total energy	-3.767	eV per atom

Cell lengths 5.0095, 5.0095, 4.1722 Å; angles 90.00, 90.00, 120.00 degrees
Last column: nearest neighbours and their distance in Å.
Positions (direct):
Ca1 0.6667 0.3333 0.2462  3 Au 3.03
Au1 0.0000 0.0000 0.0286  3 Ca 3.03, 3 La 3.16
La1 0.3333 0.6667 0.7253  3 Au 3.16, 3 Ca 3.52

---

# 2
Density functional theory data (PBE-GGA) for TbThFeOs after structural relaxation.

Output
ΔH_f (0 K)	-0.045	eV per atom
calculated total energy	-7.981	eV per atom

Cell lengths 4.9160, 4.9160, 4.9160 Å; angles 60.00, 60.00, 60.00 degrees
Last column: nearest neighbours and their distance in Å.
Positions (direct):
Tb1 0.7500 0.7500 0.7500  4 Os 3.01, 4 Fe 3.01
Os1 0.5000 0.5000 0.5000  4 Tb 3.01, 4 Th 3.01
Fe1 0.0000 0.0000 0.0000  4 Th 3.01, 4 Tb 3.01
Th1 0.2500 0.2500 0.2500  4 Os 3.01, 4 Fe 3.01

---

# 3
Density functional theory data (PBE-GGA) for Tm3B2AsRh9 after structural relaxation.

Output
ΔH_f (0 K)	-0.724	eV per atom
calculated total energy	-7.230	eV per atom

Cell lengths 6.0700, 6.0700, 7.4903 Å; angles 90.00, 90.00, 120.00 degrees
Last column: nearest neighbours and their distance in Å.
Positions (direct):
Tm1 0.3333 0.6667 0.6699  12 Rh 3.03-3.12
Tm2 0.0000 0.0000 0.0000  12 Rh 3.01-3.04
Tm3 0.6667 0.3333 0.3301  12 Rh 3.03-3.12
B1 0.3333 0.6667 0.1456  6 Rh 2.06-2.08
B2 0.6667 0.3333 0.8544  6 Rh 2.06-2.08
As1 0.0000 0.0000 0.5000  6 Rh 2.31
Rh1 0.8231 0.1769 0.6837  1 B 2.08, 1 As 2.31
Rh2 0.8231 0.6463 0.6837  1 B 2.08, 1 As 2.31
Rh3 0.3537 0.1769 0.6837  1 B 2.08, 1 As 2.31
Rh4 0.6463 0.8231 0.3163  1 B 2.08, 1 As 2.31
Rh5 0.1769 0.3537 0.3163  1 B 2.08, 1 As 2.31
Rh6 0.1769 0.8231 0.3163  1 B 2.08, 1 As 2.31
Rh7 0.5000 0.0000 0.0000  2 B 2.06
Rh8 0.0000 0.5000 0.0000  2 B 2.06
Rh9 0.5000 0.5000 0.0000  2 B 2.06

---

# 4
Density functional theory data (PBE-GGA) for TbZnPd after structural relaxation.

Output
ΔH_f (0 K)	-0.622	eV per atom
calculated total energy	-4.321	eV per atom

Cell lengths 3.5687, 3.5687, 5.2747 Å; angles 109.77, 109.77, 90.00 degrees
Last column: nearest neighbours and their distance in Å.
Positions (direct):
Zn1 0.2682 0.2682 0.5363  4 Pd 2.84, 5 Tb 2.92-3.05
Tb1 0.9533 0.9533 0.9065  5 Zn 2.92-3.05, 5 Pd 3.00-3.01
Pd1 0.6286 0.6286 0.2572  4 Zn 2.84, 5 Tb 3.00-3.01

---

# 5
Density functional theory data (PBE-GGA) for MgTaTl2 after structural relaxation.

Output
ΔH_f (0 K)	0.430	eV per atom
calculated total energy	-4.115	eV per atom

Cell lengths 5.4916, 3.0598, 5.3319 Å; angles 90.02, 90.00, 90.00 degrees
Last column: nearest neighbours and their distance in Å.
Positions (direct):
Mg1 0.0000 0.3742 0.5307  6 Tl 2.95-3.20, 2 Mg 3.06
Ta1 0.5000 0.8750 0.7303  6 Tl 3.05-3.11, 2 Ta 3.06, 4 Mg 3.32
Tl1 0.0000 0.8746 0.0049  4 Mg 2.95-3.20, 2 Tl 3.06, 2 Ta 3.11
Tl2 0.5000 0.3762 0.2341  4 Ta 3.05-3.09, 6 Tl 3.06-3.37, 2 Mg 3.17

---

# 6
Density functional theory data (PBE-GGA) for NaSmLuTl after structural relaxation.

Output
ΔH_f (0 K)	-0.034	eV per atom
calculated total energy	-3.266	eV per atom

Cell lengths 5.4079, 5.4079, 5.4079 Å; angles 60.00, 60.00, 60.00 degrees
Last column: nearest neighbours and their distance in Å.
Positions (direct):
Na1 0.0000 0.0000 0.0000  4 Sm 3.31, 4 Lu 3.31
Tl1 0.5000 0.5000 0.5000  4 Lu 3.31, 4 Sm 3.31
Lu1 0.7500 0.7500 0.7500  4 Tl 3.31, 4 Na 3.31
Sm1 0.2500 0.2500 0.2500  4 Tl 3.31, 4 Na 3.31

---

# 7
Density functional theory data (PBE-GGA) for MnZn2Ru after structural relaxation.

Output
energy relative to the lowest polymorph listed for this composition	96	meV per atom
ΔH_f (0 K)	0.049	eV per atom
calculated total energy	-5.200	eV per atom

Cell lengths 4.2833, 4.2833, 4.2833 Å; angles 60.00, 60.00, 60.00 degrees
Last column: nearest neighbours and their distance in Å.
Positions (direct):
Mn1 0.5000 0.5000 0.5000  4 Ru 2.62, 4 Zn 2.62
Ru1 0.7500 0.7500 0.7500  4 Zn 2.62, 4 Mn 2.62
Zn1 0.0000 0.0000 0.0000  4 Ru 2.62, 4 Zn 2.62
Zn2 0.2500 0.2500 0.2500  4 Mn 2.62, 4 Zn 2.62

---

# 8
Density functional theory data (PBE-GGA) for Mn2V4Fe3 after structural relaxation.

Output
ΔH_f (0 K)	-0.144	eV per atom
calculated total energy	-9.056	eV per atom

Cell lengths 4.0448, 4.0445, 7.5422 Å; angles 90.01, 90.00, 60.00 degrees
Last column: nearest neighbours and their distance in Å.
Positions (direct):
Mn1 0.3334 0.3332 0.7822  7 V 2.47-2.49, 1 Fe 2.56
Mn2 0.6666 0.6668 0.2178  7 V 2.47-2.49, 1 Fe 2.56
V1 0.6667 0.6666 0.8894  4 Mn 2.47-2.48, 4 Fe 2.48-2.50
V2 0.9999 0.0001 0.3311  4 Fe 2.48-2.50, 3 Mn 2.49, 1 V 2.55
V3 0.0001 0.9999 0.6689  4 Fe 2.48-2.50, 3 Mn 2.49, 1 V 2.55
V4 0.3333 0.3334 0.1106  4 Mn 2.47-2.48, 4 Fe 2.48-2.50
Fe1 0.3333 0.3334 0.4423  4 V 2.48-2.50, 3 Fe 2.49, 1 Mn 2.56
Fe2 0.0000 0.0000 0.0000  8 V 2.48-2.50
Fe3 0.6667 0.6666 0.5577  4 V 2.48-2.50, 3 Fe 2.49, 1 Mn 2.56

---

# 9
Density functional theory data (PBE-GGA) for CeEr5In3 after structural relaxation.

Output
ΔH_f (0 K)	-0.335	eV per atom
calculated total energy	-4.442	eV per atom

Cell lengths 6.6585, 9.2977, 9.2978 Å; angles 120.00, 90.00, 90.00 degrees
Last column: nearest neighbours and their distance in Å.
Positions (direct):
Ce1 0.0000 0.0000 0.0000  2 Ce 3.33, 6 Er 3.46, 6 In 3.59
Ce2 0.5000 0.0000 0.0000  2 Ce 3.33, 6 Er 3.46, 6 In 3.59
Er1 0.0000 0.6667 0.3333  8 Er 3.33-3.55, 6 In 3.48
Er2 0.5000 0.3333 0.6667  8 Er 3.33-3.55, 6 In 3.48
Er3 0.0000 0.3333 0.6667  8 Er 3.33-3.55, 6 In 3.48
Er4 0.5000 0.6667 0.3333  8 Er 3.33-3.55, 6 In 3.48
Er5 0.7500 0.6740 0.6740  5 In 3.08-3.33
Er6 0.7500 0.0000 0.3260  5 In 3.08-3.33
Er7 0.7500 0.3260 0.0000  5 In 3.08-3.33
Er8 0.2500 0.3260 0.3260  5 In 3.08-3.33
Er9 0.2500 0.0000 0.6740  5 In 3.08-3.33
Er10 0.2500 0.6740 0.0000  5 In 3.08-3.33
In1 0.7500 0.3425 0.3425  5 Er 3.08-3.33
In2 0.7500 0.0000 0.6575  5 Er 3.08-3.33
In3 0.7500 0.6575 0.0000  5 Er 3.08-3.33
In4 0.2500 0.6575 0.6575  5 Er 3.08-3.33
In5 0.2500 0.0000 0.3425  5 Er 3.08-3.33
In6 0.2500 0.3425 0.0000  5 Er 3.08-3.33

---

# 10
Density functional theory data (PBE-GGA) for LaPmNd2Er4 after structural relaxation.

Output
ΔH_f (0 K)	0.015	eV per atom
calculated total energy	-4.668	eV per atom

Cell lengths 7.2089, 12.3689, 12.3644 Å; angles 146.11, 106.91, 90.01 degrees
Last column: nearest neighbours and their distance in Å.
Positions (direct):
La1 0.5002 0.5002 0.5002  6 Er 3.59-3.60, 2 Nd 3.60-3.61, 2 Pm 3.60-3.61, 2 La 3.61
La2 0.0002 0.0001 0.0002  6 Er 3.59, 2 Nd 3.60-3.61, 2 Pm 3.60, 2 La 3.61
Pm1 0.0000 0.4999 0.9999  6 Er 3.56-3.57, 6 Nd 3.60-3.61
Pm2 0.0000 0.5000 0.5000  6 Er 3.59, 4 La 3.60-3.61, 2 Nd 3.61
Nd1 0.5000 0.9999 0.0000  6 Er 3.59, 4 La 3.60-3.61, 2 Pm 3.61
Nd2 0.4999 0.0001 0.5001  6 Er 3.57, 4 Nd 3.60-3.61, 2 Pm 3.61
Nd3 0.9999 0.9999 0.4999  6 Er 3.56-3.57, 2 Pm 3.60-3.61, 4 Nd 3.60-3.61
Nd4 0.5001 0.5001 0.0001  6 Er 3.56-3.57, 4 Nd 3.60-3.61, 2 Pm 3.60
Er1 0.2504 0.7493 0.0003  3 Nd 3.57-3.59, 2 Pm 3.57-3.59, 1 La 3.59, 6 Er 3.60-3.61
Er2 0.7506 0.2496 0.5006  3 Nd 3.57-3.59, 2 Pm 3.57-3.59, 1 La 3.59, 6 Er 3.60-3.61
Er3 0.2492 0.7502 0.4992  3 Nd 3.57-3.59, 2 Pm 3.57-3.59, 1 La 3.59, 6 Er 3.60-3.61
Er4 0.7496 0.2506 0.9996  3 Nd 3.57-3.59, 2 Pm 3.57-3.59, 1 La 3.59, 6 Er 3.60-3.61
Er5 0.7505 0.7495 0.0010  3 Nd 3.56-3.59, 1 Pm 3.56, 2 La 3.59, 6 Er 3.60-3.61
Er6 0.7497 0.7504 0.4989  3 Nd 3.56-3.57, 1 Pm 3.59, 2 La 3.59, 6 Er 3.60-3.61
Er7 0.2502 0.2497 0.5012  3 Nd 3.56-3.57, 1 Pm 3.59, 2 La 3.59, 6 Er 3.60-3.61
Er8 0.2497 0.2505 0.9989  3 Nd 3.56-3.59, 1 Pm 3.57, 2 La 3.59-3.60, 6 Er 3.60-3.61

---

# 11
Density functional theory data (PBE-GGA) for Hf2MoAs after structural relaxation.

Output
ΔH_f (0 K)	0.227	eV per atom
calculated total energy	-8.620	eV per atom

Cell lengths 7.4413, 7.4413, 5.9844 Å; angles 51.56, 51.56, 90.00 degrees
Last column: nearest neighbours and their distance in Å.
Positions (direct):
Mo1 0.0000 0.0000 0.0000  4 Hf 2.77, 2 As 2.85
Mo2 0.7500 0.2500 0.5000  4 Hf 2.77, 2 As 2.85
Hf1 0.6169 0.1250 0.2500  2 As 2.69, 2 Mo 2.77, 2 Hf 2.85
Hf2 0.1331 0.6250 0.2500  2 As 2.69, 2 Mo 2.77, 2 Hf 2.85
Hf3 0.3750 0.3831 0.7500  2 As 2.69, 2 Mo 2.77, 2 Hf 2.85
Hf4 0.8750 0.8669 0.7500  2 As 2.69, 2 Mo 2.77, 2 Hf 2.85
As1 0.5000 0.5000 0.0000  4 Hf 2.69, 2 Mo 2.85
As2 0.2500 0.7500 0.5000  4 Hf 2.69, 2 Mo 2.85

---

# 12
Density functional theory data (PBE-GGA) for TcMo after structural relaxation.

Output
energy relative to the lowest polymorph listed for this composition	620	meV per atom
ΔH_f (0 K)	0.696	eV per atom
calculated total energy	-9.902	eV per atom

Cell lengths 2.8007, 4.7669, 4.8615 Å; angles 90.00, 90.00, 90.00 degrees
Last column: nearest neighbours and their distance in Å.
Positions (direct):
Tc1 0.5000 0.0000 0.5000  2 Mo 2.43
Tc2 0.0000 0.5000 0.0000  2 Mo 2.43
Mo1 0.0000 0.5000 0.5000  2 Tc 2.43
Mo2 0.5000 0.0000 0.0000  2 Tc 2.43

---

Look up the calculated total energy of the tenth one.
-4.668 eV per atom